DFT (PBE) results for an optimized crystal structure of BaHfTeI2. Values from VASP.

Results
Space-group type: P4/mmm
ΔE_f (raw) in eV per atom: 0.37
DOS(E_F) in states/eV/cell: 6.5

```
&SYSTEM
  ibrav = 0, nat = 5, ntyp = 4
/
ATOMIC_SPECIES
Ba 137.33 Ba.upf
Hf 178.49 Hf.upf
Te 127.60 Te.upf
I 126.90 I.upf
CELL_PARAMETERS angstrom
6.420 0.000 0.000
0.000 6.420 0.000
0.000 0.000 6.757
ATOMIC_POSITIONS crystal
Ba 0.000 0.000 0.000
Hf 0.500 0.500 0.500
Te 0.000 0.000 0.500
I 0.000 0.500 0.000
I 0.500 0.000 0.000
```